No. 1
The following is a PBE calculation of a relaxed structure of Cd2NiP, from Alexandria.

Computed properties:
As for the space-group type: P4/mmm, No. 123. The formation energy comes out at 0.9 eV per formula unit.

Lattice parameters (Å, degrees): 4.143 4.143 3.965 90.00 90.00 90.00
Fractional positions:
Cd: 0.500 0.000 0.000
Cd: 0.000 0.500 0.000
Ni: 0.500 0.500 0.500
P: 0.000 0.000 0.500

---

No. 2
The following is a PBE calculation of a relaxed structure of CeYI2, from Alexandria.

Computed properties:
As for the space-group type: R-3m, No. 166. Its formation energy (no corrections) is -0.611 eV per atom.

Lattice parameters (Å, degrees): 3.843 3.843 11.151 80.08 80.08 60.00
Fractional positions:
I: 0.100 0.100 0.701
I: 0.900 0.900 0.299
Y: 0.500 0.500 0.500
Ce: 0.000 0.000 0.000